# 1
Entry from the Alexandria database: a relaxed structure of RbLiAsBr2 (GGA-PBEsol).

The final energy comes out at -2.960 eV/atom. As for the size of the total moment: 2.9 μB per formula unit.

It has space group P4/mmm (No. 123), with a = 5.3041 Å, b = 5.3041 Å, c = 5.1576 Å, α = 90.00°, β = 90.00° and γ = 90.00°. Symmetry generates all atoms from Rb at (0.0000, 0.0000, 0.0000), Li at (0.5000, 0.5000, 0.5000), As at (0.5000, 0.5000, 0.0000) and Br at (0.0000, 0.5000, 0.5000).

# 2
Entry from the Alexandria database: a relaxed structure of LiSbAsBr2 (GGA-PBEsol).

The final energy comes out at -3.089 eV/atom. As for the size of the total moment: 0.0 μB per formula unit.

It has space group P4/mmm (No. 123), with a = 4.6426 Å, b = 4.6426 Å, c = 5.2045 Å, α = 90.00°, β = 90.00° and γ = 90.00°. Symmetry generates all atoms from Li at (0.0000, 0.0000, 0.0000), Sb at (0.5000, 0.5000, 0.5000), As at (0.0000, 0.0000, 0.5000) and Br at (0.0000, 0.5000, 0.0000).

# 3
Entry from the Alexandria database: a relaxed structure of LiScAsBr2 (GGA-PBEsol).

The final energy comes out at -4.268 eV/atom. As for the size of the total moment: 0.2 μB per formula unit.

It has space group P4/mmm (No. 123), with a = 5.2425 Å, b = 5.2425 Å, c = 5.2105 Å, α = 90.00°, β = 90.00° and γ = 90.00°. Symmetry generates all atoms from Li at (0.0000, 0.0000, 0.0000), Sc at (0.5000, 0.5000, 0.5000), As at (0.5000, 0.5000, 0.0000) and Br at (0.0000, 0.5000, 0.5000).

# 4
Entry from the Alexandria database: a relaxed structure of SrLiAsBr2 (GGA-PBEsol).

The final energy comes out at -3.155 eV/atom. As for the size of the total moment: 2.0 μB per formula unit.

It has space group P4/mmm (No. 123), with a = 5.8261 Å, b = 5.8261 Å, c = 6.0755 Å, α = 90.00°, β = 90.00° and γ = 90.00°. Symmetry generates all atoms from Sr at (0.0000, 0.0000, 0.0000), Li at (0.5000, 0.5000, 0.5000), As at (0.0000, 0.0000, 0.5000) and Br at (0.0000, 0.5000, 0.0000).